1.
ScTlAuSe2 (PBE, relaxed); space group = No. 13; crystal system = monoclinic; density = 7.4 g/cm3; uncorrected formation energy = -0.76 eV per atom
1.0
-2.4910 0.4664 -4.6429
-6.6165 -0.8351 3.4660
1.0947 6.9824 0.1140
Sc Tl Au Se
2 2 2 4
Cartesian
-0.9578 1.9762 -2.2668 Sc
-0.4384 5.4726 -2.2620 Sc
-2.9244 4.9011 1.0037 Tl
-5.0884 1.7126 -2.0666 Tl
0.0000 0.0000 0.0000 Au
0.5474 3.4912 0.0570 Au
-5.6001 6.2419 -0.3436 Se
-2.6606 4.0118 -2.1447 Se
-5.3521 2.6018 1.0818 Se
-2.4127 0.3717 -0.7193 Se

2.
ScSiAu (PBE, relaxed); space group = No. 187; crystal system = hexagonal; density = 8.4 g/cm3; uncorrected formation energy = -0.71 eV per atom
1.0
4.3107 0.0000 0.0000
-2.1553 3.7331 0.0000
0.0000 0.0000 3.3001
Sc Si Au
1 1 1
Cartesian
2.1553 1.2444 1.1000 Sc
0.0000 2.4888 2.7500 Si
0.0000 0.0000 2.7503 Au

3.
ScSi3Au (PBE, relaxed); space group = No. 221; crystal system = cubic; density = 4.7 g/cm3; uncorrected formation energy = 0.73 eV per atom
1.0
4.8534 0.0000 0.0000
0.0000 4.8534 0.0000
0.0000 0.0000 4.8534
Sc Si Au
1 3 1
Cartesian
2.4267 2.4267 2.4267 Sc
0.0000 2.4267 0.0000 Si
0.0000 0.0000 2.4267 Si
2.4267 0.0000 0.0000 Si
0.0000 0.0000 0.0000 Au

4.
ScSiAu3 (PBE, relaxed); space group = No. 221; crystal system = cubic; density = 10.4 g/cm3; uncorrected formation energy = -0.05 eV per atom
1.0
-0.4379 4.4593 1.5450
-0.4220 -1.5824 4.4477
4.7004 0.2733 0.5432
Sc Si Au
1 1 3
Cartesian
1.9203 1.5751 3.2679 Sc
0.0000 0.0000 0.0000 Si
-0.2110 -0.7912 2.2238 Au
2.3502 0.1367 0.2716 Au
-0.2189 2.2296 0.7725 Au

5.
ScSiAu (PBE, relaxed); space group = No. 46; crystal system = orthorhombic; density = 8.2 g/cm3; uncorrected formation energy = -0.59 eV per atom
1.0
5.7196 -0.0196 -0.0118
1.2867 3.5993 -0.0036
1.6959 1.4240 5.2705
Sc Si Au
2 2 2
Cartesian
5.1205 3.0802 1.9176 Sc
7.7655 4.1640 3.6339 Sc
5.4711 2.9568 4.8489 Si
3.7055 1.5573 3.8899 Si
6.0098 0.7303 0.4838 Au
2.4060 2.0243 1.7564 Au

6.
ScSiAu (PBE, relaxed); space group = No. 129; crystal system = tetragonal; density = 8.0 g/cm3; uncorrected formation energy = -0.29 eV per atom
1.0
4.1245 0.0000 0.0000
0.0000 4.1245 0.0000
0.0000 0.0000 6.5795
Sc Si Au
2 2 2
Cartesian
0.0000 0.0000 3.2897 Sc
2.0622 2.0622 3.2897 Sc
0.0000 2.0622 1.2754 Si
2.0622 0.0000 5.3040 Si
0.0000 2.0622 5.3403 Au
2.0622 0.0000 1.2391 Au

7.
ScSi4Au (PBE, relaxed); space group = No. 216; crystal system = cubic; density = 6.2 g/cm3; uncorrected formation energy = -0.03 eV per atom
1.0
0.0000 3.6278 3.6278
3.6278 0.0000 3.6278
3.6278 3.6278 0.0000
Sc Si Au
1 4 1
Cartesian
0.0000 0.0000 0.0000 Sc
2.7242 2.7242 4.5314 Si
2.7242 4.5314 2.7242 Si
4.5314 4.5314 4.5314 Si
4.5314 2.7242 2.7242 Si
1.8139 1.8139 1.8139 Au

8.
ScSiAu (PBE, relaxed); space group = No. 11; crystal system = monoclinic; density = 8.5 g/cm3; uncorrected formation energy = -0.75 eV per atom
1.0
-3.0237 0.1648 2.6805
-3.8402 -3.7789 -4.0995
3.9346 -9.6539 5.0321
Sc Si Au
6 6 6
Cartesian
-2.7962 -5.5237 1.7616 Sc
-1.7267 -10.4907 0.2227 Sc
-1.2026 -2.7773 3.3903 Sc
-4.4667 -3.1404 -0.2694 Sc
-0.1331 -7.7443 1.8514 Sc
1.5374 -10.1276 3.8825 Sc
-0.0230 -11.6240 2.2143 Si
-0.3485 -8.1188 4.6823 Si
-2.8713 -8.3578 1.8511 Si
-2.9063 -1.6440 1.3988 Si
-0.0580 -4.9102 1.7620 Si
-2.5808 -5.1491 -1.0692 Si
-4.1850 -4.5988 -2.9126 Au
-2.1960 -7.5661 -0.4865 Au
-1.5720 -9.9117 3.4124 Au
-0.7333 -5.7019 4.0996 Au
-1.3573 -3.3562 0.2007 Au
1.2557 -8.6692 6.5257 Au

9.
ScSiAu (PBE, relaxed); space group = No. 8; crystal system = monoclinic; density = 7.8 g/cm3; uncorrected formation energy = -0.61 eV per atom
1.0
4.2806 -0.0017 0.0006
0.0086 7.6403 -0.0049
2.1387 -1.1913 3.5096
Sc Si Au
2 2 2
Cartesian
4.4751 -0.8161 2.5690 Sc
2.3368 3.6268 0.1643 Sc
2.3379 4.7702 3.1613 Si
4.4764 1.7202 0.8204 Si
2.3356 1.0433 1.8941 Au
4.4772 4.2802 1.6906 Au

10.
Sc2Si4Au (PBE, relaxed); space group = No. 139; crystal system = tetragonal; density = 4.2 g/cm3; uncorrected formation energy = 0.34 eV per atom
1.0
-3.8292 0.2588 -3.0132
0.3498 -4.7910 -0.8560
-5.8076 -3.4683 3.1317
Sc Si Au
2 4 1
Cartesian
-6.6187 -5.4600 0.0406 Sc
-2.6683 -2.5405 -0.7781 Sc
-4.9860 -4.9774 -1.9928 Si
-4.3010 -3.0230 1.2553 Si
0.1749 -2.3955 -0.4280 Si
-1.9146 0.1294 -1.5066 Si
0.0000 0.0000 0.0000 Au

11.
ScSiAu (PBE, relaxed); space group = No. 1; crystal system = triclinic; density = 8.3 g/cm3; uncorrected formation energy = -0.56 eV per atom
1.0
7.4727 -0.0111 0.0139
-1.0027 3.7370 0.0004
2.0241 2.5432 3.8974
Sc Si Au
2 2 2
Cartesian
4.4096 0.4625 0.0845 Sc
1.3901 1.6612 0.6078 Sc
3.8442 2.3171 2.2906 Si
5.0231 4.6298 2.2505 Si
6.2928 2.9658 0.8331 Au
1.4073 3.6675 2.5173 Au

12.
ScSiAu (PBE, relaxed); space group = No. 2; crystal system = triclinic; density = 8.4 g/cm3; uncorrected formation energy = -0.72 eV per atom
1.0
-4.9817 -1.5195 -1.2020
-0.1384 -2.3502 -3.3020
1.3644 -5.4133 1.3168
Sc Si Au
2 2 2
Cartesian
-0.7063 -6.5957 -2.5588 Sc
-4.6333 -2.9751 -2.4956 Sc
-2.7682 -5.6520 -0.6593 Si
-2.4329 -1.5686 -1.0933 Si
-1.5558 -3.7248 -2.0848 Au
-3.7837 -5.8461 -2.9697 Au

13.
ScSiAu (PBE, relaxed); space group = No. 5; crystal system = monoclinic; density = 7.9 g/cm3; uncorrected formation energy = -0.59 eV per atom
1.0
-3.4502 -0.7222 -1.4247
1.4625 -6.5930 4.8804
-1.5192 2.5326 2.3947
Sc Si Au
2 2 2
Cartesian
-1.7974 -5.0457 5.6522 Sc
-2.0487 -0.9384 4.1637 Sc
0.8351 -5.1384 4.3995 Si
-0.9232 -0.1713 1.0538 Si
-2.8381 -1.5948 1.3393 Au
-3.1895 -3.5356 3.1699 Au

14.
ScSi3Au (PBE, relaxed); space group = No. 221; crystal system = cubic; density = 4.3 g/cm3; uncorrected formation energy = 1.08 eV per atom
1.0
4.9991 0.0000 0.0000
0.0000 4.9991 0.0000
0.0000 0.0000 4.9991
Sc Si Au
1 3 1
Cartesian
0.0000 0.0000 0.0000 Sc
0.0000 2.4995 0.0000 Si
0.0000 0.0000 2.4995 Si
2.4995 0.0000 0.0000 Si
2.4995 2.4995 2.4995 Au

15.
Sc3SiAu (PBE, relaxed); space group = No. 221; crystal system = cubic; density = 4.9 g/cm3; uncorrected formation energy = -0.11 eV per atom
1.0
4.9595 0.0000 0.0000
0.0000 4.9595 0.0000
0.0000 0.0000 4.9595
Sc Si Au
3 1 1
Cartesian
0.0000 2.4797 0.0000 Sc
0.0000 0.0000 2.4797 Sc
2.4797 0.0000 0.0000 Sc
0.0000 0.0000 0.0000 Si
2.4797 2.4797 2.4797 Au

16.
Sc5Si2Au2 (PBE, relaxed); space group = No. 64; crystal system = orthorhombic; density = 6.2 g/cm3; uncorrected formation energy = -0.77 eV per atom
1.0
-6.9422 0.5576 0.6320
-0.1902 -6.1549 3.3409
-2.6093 3.7355 6.7333
Sc Si Au
10 4 4
Cartesian
0.0000 0.0000 0.0000 Sc
-3.5662 -2.7987 1.9864 Sc
-5.1047 1.9424 5.8338 Sc
-7.6980 -1.8809 8.2415 Sc
-4.1977 -1.2155 7.4130 Sc
-8.6050 1.2770 6.6623 Sc
-4.6369 -3.8043 4.8724 Sc
-2.0437 0.0190 2.4647 Sc
-5.5439 -0.6463 3.2932 Sc
-1.1366 -3.1389 4.0439 Sc
-0.9274 -2.2407 1.3315 Si
-6.2050 -3.3566 2.6414 Si
-2.7815 -5.1769 3.1621 Si
-4.3509 -0.4204 0.8108 Si
-2.9732 2.2756 4.0232 Au
-6.5394 -0.5230 6.0096 Au
-6.5783 2.0174 3.3422 Au
-3.2022 -1.3388 4.6966 Au

17.
ScSiAu (PBE, relaxed); space group = No. 187; crystal system = hexagonal; density = 8.3 g/cm3; uncorrected formation energy = -0.74 eV per atom
1.0
4.2578 0.0000 0.0000
-2.1289 3.6874 0.0000
0.0000 0.0000 6.8408
Sc Si Au
2 2 2
Cartesian
0.0000 2.4582 0.0000 Sc
0.0000 2.4582 3.4204 Sc
0.0000 0.0000 2.0183 Si
0.0000 0.0000 4.8225 Si
2.1289 1.2291 5.3584 Au
2.1289 1.2291 1.4824 Au

18.
ScSiAu (PBE, relaxed); space group = No. 46; crystal system = orthorhombic; density = 8.3 g/cm3; uncorrected formation energy = -0.61 eV per atom
1.0
-1.3467 -2.9369 -4.3256
-2.4006 -3.7253 0.9106
-5.3466 0.5811 -0.4779
Sc Si Au
2 2 2
Cartesian
-6.7576 -2.1999 -2.7153 Sc
-3.0890 -1.1253 0.1157 Sc
-4.3823 -3.4303 -1.4838 Si
-3.7800 -1.3759 -2.7362 Si
-2.6426 -4.1783 0.0417 Au
-7.2315 -4.9594 -4.0139 Au

19.
ScSiAu (PBE, relaxed); space group = No. 42; crystal system = orthorhombic; density = 8.4 g/cm3; uncorrected formation energy = -0.36 eV per atom
1.0
5.8484 0.0131 -0.0139
4.9601 3.0364 -0.0423
0.8883 0.1637 3.0190
Au Sc Si
1 1 1
Cartesian
0.9770 0.1894 2.9915 Au
4.1444 1.1109 2.0096 Sc
7.4637 2.0764 0.9806 Si

20.
ScSi2Au4 (PBE, relaxed); space group = No. 65; crystal system = orthorhombic; density = 11.7 g/cm3; uncorrected formation energy = -0.32 eV per atom
1.0
4.2636 0.0000 0.0000
0.0000 4.1389 -1.2293
0.0000 -0.1122 7.2047
Sc Si Au
1 2 4
Cartesian
0.0000 0.0000 0.0000 Sc
2.1318 2.3915 0.4699 Si
2.1318 1.6351 5.5055 Si
2.1318 3.3701 3.7648 Au
0.0000 2.7420 1.6498 Au
2.1318 0.6565 2.2106 Au
0.0000 1.2847 4.3256 Au